1.
Density functional theory data (PBE-GGA) for crystalline GaCu2HAu at its relaxed geometry.

* total energy: -17.5 eV/cell
* density: 10.7 g cm⁻³

a b c (Å): 3.776 3.776 4.282
angles (deg): 90.00 90.00 90.00
Fractional positions:
Ga 0.000 0.000 0.000
Cu 0.000 0.500 0.500
Cu 0.500 0.000 0.500
H 0.000 0.000 0.500
Au 0.500 0.500 0.000


2.
Density functional theory data (PBE-GGA) for crystalline HfGaCu2Au at its relaxed geometry.

* total energy: -18.6 eV/cell
* density: 7.7 g cm⁻³
* energy relative to the elements: 1.18 eV per atom

a b c (Å): 4.846 4.846 5.263
angles (deg): 90.00 90.00 90.00
Fractional positions:
Hf 0.000 0.000 0.000
Ga 0.000 0.000 0.500
Cu 0.000 0.500 0.000
Cu 0.500 0.000 0.000
Au 0.500 0.500 0.500


3.
Density functional theory data (PBE-GGA) for crystalline HoGa3CuAu at its relaxed geometry.

* total energy: -45.0 eV/cell
* density: 9.4 g cm⁻³
* energy relative to the elements: -0.24 eV per atom

a b c (Å): 7.304 7.304 5.991
angles (deg): 90.00 90.00 135.27
Fractional positions:
Ho 0.195 0.805 0.750
Ho 0.805 0.195 0.250
Ga 0.225 0.225 0.000
Ga 0.225 0.225 0.500
Ga 0.371 0.629 0.250
Ga 0.629 0.371 0.750
Ga 0.775 0.775 0.000
Ga 0.775 0.775 0.500
Cu 0.400 0.600 0.750
Cu 0.600 0.400 0.250
Au 0.169 0.831 0.250
Au 0.831 0.169 0.750


4.
Density functional theory data (PBE-GGA) for crystalline Ho2Ga4Cu3Au at its relaxed geometry.

* total energy: -41.5 eV/cell
* density: 9.3 g cm⁻³
* energy relative to the elements: -0.46 eV per atom

a b c (Å): 4.156 4.156 10.286
angles (deg): 90.00 90.00 90.00
Fractional positions:
Ho 0.000 0.500 0.246
Ho 0.500 0.000 0.754
Ga 0.000 0.000 0.000
Ga 0.000 0.500 0.644
Ga 0.500 0.000 0.356
Ga 0.500 0.500 0.000
Cu 0.000 0.500 0.871
Cu 0.500 0.000 0.129
Cu 0.500 0.500 0.500
Au 0.000 0.000 0.500


5.
Density functional theory data (PBE-GGA) for crystalline Ho2Ga4CuAu3 at its relaxed geometry.

* total energy: -40.6 eV/cell
* density: 10.8 g cm⁻³
* energy relative to the elements: -0.55 eV per atom

a b c (Å): 4.177 4.177 11.086
angles (deg): 90.00 90.00 90.00
Fractional positions:
Ho 0.000 0.500 0.238
Ho 0.500 0.000 0.762
Ga 0.000 0.000 0.500
Ga 0.000 0.500 0.870
Ga 0.500 0.000 0.130
Ga 0.500 0.500 0.500
Cu 0.500 0.500 0.000
Au 0.000 0.000 0.000
Au 0.000 0.500 0.645
Au 0.500 0.000 0.355


6.
Density functional theory data (PBE-GGA) for crystalline HoGaCu2Au4 at its relaxed geometry.

* total energy: -31.5 eV/cell
* density: 13.5 g cm⁻³
* energy relative to the elements: -0.32 eV per atom

a b c (Å): 7.904 7.904 7.904
angles (deg): 34.46 34.46 34.46
Fractional positions:
Ho 0.000 0.000 0.000
Ga 0.500 0.500 0.500
Cu 0.259 0.259 0.259
Cu 0.741 0.741 0.741
Au 0.134 0.134 0.134
Au 0.385 0.385 0.385
Au 0.615 0.615 0.615
Au 0.866 0.866 0.866


7.
Density functional theory data (PBE-GGA) for crystalline In2Ga2Cu7Au at its relaxed geometry.

* total energy: -42.5 eV/cell
* density: 8.6 g cm⁻³
* energy relative to the elements: 0.08 eV per atom

a b c (Å): 3.586 3.586 15.441
angles (deg): 96.49 96.49 90.08
Fractional positions:
In 0.135 0.135 0.272
In 0.865 0.865 0.728
Ga 0.308 0.308 0.613
Ga 0.692 0.692 0.387
Cu 0.000 0.000 0.000
Cu 0.063 0.563 0.133
Cu 0.223 0.223 0.453
Cu 0.437 0.937 0.867
Cu 0.563 0.063 0.133
Cu 0.777 0.777 0.547
Cu 0.937 0.437 0.867
Au 0.500 0.500 0.000


8.
Density functional theory data (PBE-GGA) for crystalline GaCu2IrAu at its relaxed geometry.

* total energy: -19.6 eV/cell
* density: 9.4 g cm⁻³
* energy relative to the elements: 0.74 eV per atom

a b c (Å): 4.704 4.704 4.660
angles (deg): 90.00 90.00 90.00
Fractional positions:
Ga 0.000 0.000 0.000
Cu 0.000 0.500 0.500
Cu 0.500 0.000 0.500
Ir 0.000 0.000 0.500
Au 0.500 0.500 0.000